Entry 1:
Density functional theory data (GGA-PBE) for an optimized crystal structure of RbLaHg2.

Lattice parameters (Å, degrees): 3.995 3.995 8.764 90.00 90.00 90.00
Sites, in units of the cell vectors:
1 Rb 0.000 0.000 0.000
2 La 0.000 0.000 0.500
3 Hg 0.500 0.500 0.298
4 Hg 0.500 0.500 0.702

As for the spin magnetization: 0.1225 μB/atom. For the theoretical density, the calculation gives 7.43 g cm⁻³. The density of states at the Fermi level is 1.05 states/eV per atom. The calculation puts the final energy at -1.928 eV/atom.

Entry 2:
Density functional theory data (GGA-PBE) for an optimized crystal structure of RbLaHg.

Lattice parameters (Å, degrees): 15.578 5.778 5.771 90.00 90.00 90.00
Sites, in units of the cell vectors:
1 Rb 0.160 0.000 0.000
2 Rb 0.160 0.500 0.500
3 Rb 0.840 0.000 0.000
4 Rb 0.840 0.500 0.500
5 La 0.395 0.000 0.499
6 La 0.395 0.500 0.999
7 La 0.605 0.000 0.499
8 La 0.605 0.500 0.999
9 Hg 0.000 0.000 0.500
10 Hg 0.000 0.500 0.000
11 Hg 0.500 0.000 0.999
12 Hg 0.500 0.500 0.499

As for the spin magnetization: 0.1096 μB/atom. For the theoretical density, the calculation gives 5.43 g cm⁻³. The density of states at the Fermi level is 0.99 states/eV per atom. The calculation puts the final energy at -2.135 eV/atom.

no.,formation energy (eV per formula unit)
1,-1.2
2,-0.2